Entry 1:
RePt2W | PBE | optimized geometry

Computed properties:
offset from the most stable computed form	552.0	meV per atom
spin magnetization	0.39	Bohr magnetons per cell

a b c (Å): 4.475 4.475 4.475
angles (deg): 60.00 60.00 60.00
Last column: magnetic moment on the atom in μB.
Atoms (fractional coordinates):
1 Pt 0.750 0.750 0.750  0.06
2 Pt 0.250 0.250 0.250  0.06
3 W 0.000 0.000 0.000  0.00
4 Re 0.500 0.500 0.500  0.23



Entry 2:
RePt2W | PBE | optimized geometry

Computed properties:
offset from the most stable computed form	137.1	meV per atom
spin magnetization	0.00	Bohr magnetons per cell

a b c (Å): 3.322 3.322 5.678
angles (deg): 90.00 90.00 90.00
Atoms (fractional coordinates):
1 Pt 0.500 0.500 0.247
2 Pt 0.000 0.000 0.001
3 W 0.500 0.500 0.750
4 Re 0.000 0.000 0.502